Model i:
Crystalline MoAuBr2 at its relaxed geometry, computed with PBE.

Symmetry ... P4mm (99)

Cell lengths 3.1608, 3.1608, 8.7408 Å; angles 90.00, 90.00, 90.00 degrees
Closest atoms and distances in Å follow each position.
Sites, in units of the cell vectors:
Mo  0.0000  0.0000  0.5110  4 Br 2.73, 4 Au 2.86
Au  0.5000  0.5000  0.7154  4 Mo 2.86, 4 Br 2.99, 4 Au 3.16
Br  0.0000  0.0000  0.9425  4 Au 2.99, 4 Br 3.16
Br  0.5000  0.5000  0.3311  4 Mo 2.73

Model ii:
Crystalline MoAuBr2 at its relaxed geometry, computed with PBE.

Symmetry ... Imm2 (44)

Cell lengths 7.2447, 7.2447, 7.2447 Å; angles 155.21, 140.98, 46.78 degrees
Closest atoms and distances in Å follow each position.
Sites, in units of the cell vectors:
Mo  0.4915  0.4915  0.0000  6 Br 2.62-2.89, 2 Au 2.79
Au  0.6657  0.1657  0.5000  2 Mo 2.79, 2 Au 3.11
Br  0.0095  0.0095  0.0000  4 Mo 2.89, 2 Br 3.11, 2 Au 3.19
Br  0.3333  0.8333  0.5000  2 Mo 2.62

Which of them is the least stable? Correct choice: model ii.

Model i:
Crystalline CaCd2Br at its relaxed geometry, computed with PBE.

Symmetry ... I-4m2 (119)

Cell lengths 5.8762, 5.8762, 5.8762 Å; angles 131.83, 131.83, 70.50 degrees
Closest atoms and distances in Å follow each position.
Sites, in units of the cell vectors:
Ca  0.7500  0.2500  0.5000  8 Cd 3.39, 4 Br 3.39
Br  0.5000  0.5000  0.0000  8 Cd 3.39, 4 Ca 3.39
Cd  0.0000  0.0000  0.0000  4 Br 3.39, 4 Cd 3.39, 4 Ca 3.39
Cd  0.2500  0.7500  0.5000  4 Ca 3.39, 4 Br 3.39, 4 Cd 3.39

Model ii:
Crystalline CaCd2Br at its relaxed geometry, computed with PBE.

Symmetry ... P4mm (99)

Cell lengths 3.6400, 3.6400, 8.9396 Å; angles 90.00, 90.00, 90.00 degrees
Closest atoms and distances in Å follow each position.
Sites, in units of the cell vectors:
Ca  0.5000  0.5000  0.7480  4 Br 3.02
Br  0.0000  0.0000  0.5711  4 Ca 3.02
Cd  0.0000  0.0000  0.0001  4 Cd 3.04
Cd  0.5000  0.5000  0.1807  4 Cd 3.04

Which of them is the least stable? Correct choice: model i.

Model i:
Crystalline ZnGa2Pb at its relaxed geometry, computed with PBE.

Symmetry ... R3m (160)

Cell lengths 3.8138, 3.8138, 7.6687 Å; angles 75.60, 75.60, 60.00 degrees
Closest atoms and distances in Å follow each position.
Sites, in units of the cell vectors:
Zn  0.6648  0.6648  0.0055  6 Ga 2.61-2.64
Ga  0.0642  0.0642  0.8074  3 Zn 2.64
Ga  0.2678  0.2678  0.1965  3 Zn 2.61
Pb  0.5031  0.5031  0.4906  6 Ga 3.08-3.20

Model ii:
Crystalline ZnGa2Pb at its relaxed geometry, computed with PBE.

Symmetry ... R-3m (166)

Cell lengths 4.3469, 4.3469, 6.0203 Å; angles 68.84, 68.84, 60.00 degrees
Closest atoms and distances in Å follow each position.
Sites, in units of the cell vectors:
Pb  0.5000  0.5000  0.5000  6 Ga 3.15
Zn  0.0000  0.0000  0.0000  6 Ga 2.65
Ga  0.2824  0.2824  0.1527  3 Zn 2.65
Ga  0.7176  0.7176  0.8473  3 Zn 2.65

Which of them is the least stable? Correct choice: model i.

Model i:
Crystalline CuIr2Os at its relaxed geometry, computed with PBE.

Symmetry ... P4/mmm (123)

Cell lengths 3.7750, 3.8636, 3.8636 Å; angles 90.00, 90.00, 90.00 degrees
Closest atoms and distances in Å follow each position.
Sites, in units of the cell vectors:
Cu  0.5000  0.0000  0.5000  8 Ir 2.70, 4 Os 2.73
Ir  0.0000  0.0000  0.0000  4 Os 2.70, 4 Cu 2.70, 4 Ir 2.73
Ir  0.0000  0.5000  0.5000  4 Os 2.70, 4 Cu 2.70, 4 Ir 2.73
Os  0.5000  0.5000  0.0000  8 Ir 2.70, 4 Cu 2.73

Model ii:
Crystalline CuIr2Os at its relaxed geometry, computed with PBE.

Symmetry ... Cmmm (65)

Cell lengths 2.6966, 2.6966, 9.1188 Å; angles 90.00, 90.00, 119.51 degrees
Closest atoms and distances in Å follow each position.
Sites, in units of the cell vectors:
Cu  0.5000  0.5000  0.7500  4 Ir 2.62, 6 Cu 2.70-2.72
Ir  0.0000  0.0000  0.9956  2 Cu 2.62, 2 Os 2.69, 6 Ir 2.70-2.72
Ir  0.0000  0.0000  0.5044  2 Cu 2.62, 2 Os 2.69, 6 Ir 2.70-2.72
Os  0.5000  0.5000  0.2500  4 Ir 2.69, 6 Os 2.70-2.72

Which of them is the least stable? Correct choice: model ii.